CaCoP2S | PBE | relaxed

Unit cell a=5.1682 b=5.1682 c=5.0599 alpha=90.00 beta=90.00 gamma=90.00
Each line ends with the local moment (μB).
Atoms (fractional coordinates):
P 0.0000 0.5000 0.0000  -0.07
P 0.5000 0.0000 0.0000  -0.07
Ca 0.0000 0.0000 0.0000  0.00
Co 0.5000 0.5000 0.5000  2.28
S 0.0000 0.0000 0.5000  -0.04

Output
Crystal system: tetragonal
Formation energy from raw total energies in eV per atom: 1.344
Energy in eV/cell: -17.33
ΔE to the lowest computed polymorph in meV per atom: 1663.6
V in Å³ per cell: 135.2